# SrSc2As PBEsol relaxed
data_SrSc2As
_chemical_formula_sum 'Sr2 Sc4 As2'
_symmetry_space_group_name_H-M 'I m m 2'
_symmetry_Int_Tables_number 44
_cell_length_a 3.772
_cell_length_b 4.704
_cell_length_c 11.111
_cell_angle_alpha 90.00
_cell_angle_beta 90.00
_cell_angle_gamma 90.00
loop_
_symmetry_equiv_pos_as_xyz
'x,y,z'
'-x,-y,z'
'-x,y,z'
'x,-y,z'
'x+1/2,y+1/2,z+1/2'
'-x+1/2,-y+1/2,z+1/2'
'-x+1/2,y+1/2,z+1/2'
'x+1/2,-y+1/2,z+1/2'
loop_
_atom_site_label
_atom_site_type_symbol
_atom_site_fract_x
_atom_site_fract_y
_atom_site_fract_z
_atom_site_occupancy
Sr1 Sr 0.000 0.000 0.000 1
Sc1 Sc 0.000 0.000 0.403 1
Sc2 Sc 0.000 0.500 0.207 1
As1 As 0.000 0.500 0.732 1
# ΔH_f (0 K) in eV/atom: -0.35
# N(E_F) in states/eV per cell: 9.2